Compound: Nd3Dy5In
Source: Alexandria via LeMat-Bulk
Functional: PBE
Structure: relaxed

## Properties
The crystal system is monoclinic. The density of states at the Fermi level comes out at 1.39 states/eV/atom. For the formation energy, the calculation gives 0.28 eV per atom.

The structure in POSCAR format:
```
Nd3Dy5In
1.0
5.944 -4.287 0.000
5.944 4.287 0.000
-1.461 0.000 12.474
Nd Dy In
6 10 2
direct
0.000 0.000 0.000
0.000 0.000 0.500
0.047 0.047 0.255
0.337 0.337 0.456
0.663 0.663 0.544
0.953 0.953 0.745
0.094 0.482 0.196
0.251 0.251 0.949
0.325 0.675 0.000
0.456 0.456 0.745
0.482 0.094 0.196
0.518 0.906 0.804
0.544 0.544 0.255
0.675 0.325 0.000
0.749 0.749 0.051
0.906 0.518 0.804
0.204 0.204 0.672
0.796 0.796 0.328
```

***

Compound: Na3Pm2TmTe6
Source: Alexandria via LeMat-Bulk
Functional: PBE
Structure: relaxed

## Properties
The crystal system is monoclinic.

The structure in POSCAR format:
```
Na3Pm2TmTe6
1.0
3.876 -6.715 0.000
3.876 6.715 0.000
-2.589 0.000 7.572
Na Pm Tm Te
3 2 1 6
direct
0.000 0.000 0.000
0.331 0.669 0.000
0.669 0.331 0.000
0.166 0.834 0.500
0.834 0.166 0.500
0.500 0.500 0.500
0.097 0.422 0.265
0.254 0.254 0.735
0.422 0.097 0.265
0.578 0.903 0.735
0.746 0.746 0.265
0.903 0.578 0.735
```

***

Compound: GaHg2S
Source: Alexandria via LeMat-Bulk
Functional: PBE
Structure: relaxed

## Properties
The crystal system is tetragonal. As for the energy above the most stable polymorph in this dataset: 0.0000 eV/atom. The density of states at the Fermi level comes out at 0.18 states/eV/atom.

The structure in POSCAR format:
```
GaHg2S
1.0
6.763 0.000 0.000
0.000 6.763 0.000
0.000 0.000 9.628
Ga Hg S
4 8 4
direct
0.000 0.000 0.000
0.000 0.500 0.250
0.500 0.000 0.750
0.500 0.500 0.500
0.243 0.250 0.625
0.250 0.743 0.875
0.250 0.757 0.375
0.257 0.250 0.125
0.743 0.750 0.125
0.750 0.243 0.375
0.750 0.257 0.875
0.757 0.750 0.625
0.000 0.000 0.500
0.000 0.500 0.750
0.500 0.000 0.250
0.500 0.500 0.000
```

***

Compound: SrCaRu
Source: Alexandria via LeMat-Bulk
Functional: PBE
Structure: relaxed

## Properties
The crystal system is monoclinic. As for the energy above the most stable polymorph in this dataset: 0.0000 eV/atom. The density of states at the Fermi level comes out at 0.82 states/eV/atom. For the formation energy, the calculation gives 0.06 eV per atom.

The structure in POSCAR format:
```
SrCaRu
1.0
15.854 0.000 0.000
0.000 4.309 0.000
-1.431 0.000 5.996
Sr Ca Ru
4 4 4
direct
0.154 0.000 0.332
0.346 0.500 0.668
0.654 0.500 0.332
0.846 0.000 0.668
0.089 0.500 0.804
0.411 0.000 0.196
0.589 0.000 0.804
0.911 0.500 0.196
0.238 0.000 0.915
0.262 0.500 0.085
0.738 0.500 0.915
0.762 0.000 0.085
```

***

Compound: YP2SI
Source: Alexandria via LeMat-Bulk
Functional: PBE
Structure: relaxed

## Properties
The crystal system is tetragonal. As for the energy above the most stable polymorph in this dataset: 0.1455 eV/atom. The density of states at the Fermi level comes out at 0.68 states/eV/atom.

The structure in POSCAR format:
```
YP2SI
1.0
5.081 0.000 0.000
0.000 5.081 0.000
0.000 0.000 4.941
Y P S I
1 2 1 1
direct
0.000 0.000 0.000
0.000 0.500 0.500
0.500 0.000 0.500
0.500 0.500 0.000
0.500 0.500 0.500
```

***

Compound: MgNiSnRu
Source: Alexandria via LeMat-Bulk
Functional: PBE
Structure: relaxed

## Properties
The crystal system is cubic. The density of states at the Fermi level comes out at 0.42 states/eV/atom. For the formation energy, the calculation gives -0.21 eV per atom.

The structure in POSCAR format:
```
MgNiSnRu
1.0
6.265 0.000 0.000
0.000 6.265 0.000
0.000 0.000 6.265
Mg Ni Sn Ru
4 4 4 4
direct
0.000 0.000 0.000
0.000 0.500 0.500
0.500 0.000 0.500
0.500 0.500 0.000
0.250 0.250 0.250
0.250 0.750 0.750
0.750 0.250 0.750
0.750 0.750 0.250
0.000 0.000 0.500
0.000 0.500 0.000
0.500 0.000 0.000
0.500 0.500 0.500
0.250 0.250 0.750
0.250 0.750 0.250
0.750 0.250 0.250
0.750 0.750 0.750
```

***

Compound: HfCo4Au
Source: Alexandria via LeMat-Bulk
Functional: PBE
Structure: relaxed

## Properties
The crystal system is cubic. The density of states at the Fermi level comes out at 1.52 states/eV/atom. For the formation energy, the calculation gives -0.23 eV per atom.

The structure in POSCAR format:
```
HfCo4Au
1.0
0.000 3.424 3.424
3.424 0.000 3.424
3.424 3.424 0.000
Hf Co Au
1 4 1
direct
0.000 0.000 0.000
0.375 0.375 0.375
0.375 0.375 0.874
0.375 0.874 0.375
0.874 0.375 0.375
0.750 0.750 0.750
```

***

Compound: Zn2Bi2Au
Source: Alexandria via LeMat-Bulk
Functional: PBE
Structure: relaxed

## Properties
The crystal system is tetragonal. As for the energy above the most stable polymorph in this dataset: 0.1035 eV/atom. The density of states at the Fermi level comes out at 0.50 states/eV/atom. For the formation energy, the calculation gives 0.18 eV per atom.

The structure in POSCAR format:
```
Zn2Bi2Au
1.0
8.329 0.000 0.000
0.000 8.329 0.000
0.000 0.000 3.584
Zn Bi Au
4 4 2
direct
0.105 0.395 0.000
0.395 0.895 0.000
0.605 0.105 0.000
0.895 0.605 0.000
0.204 0.704 0.500
0.296 0.204 0.500
0.704 0.796 0.500
0.796 0.296 0.500
0.000 0.000 0.500
0.500 0.500 0.500
```

***

Compound: BiIr3Cl
Source: Alexandria via LeMat-Bulk
Functional: PBE
Structure: relaxed

## Properties
The crystal system is cubic. The density of states at the Fermi level comes out at 1.38 states/eV/atom.

The structure in POSCAR format:
```
BiIr3Cl
1.0
4.559 0.000 0.000
0.000 4.559 0.000
0.000 0.000 4.559
Bi Ir Cl
1 3 1
direct
0.000 0.000 0.000
0.000 0.500 0.500
0.500 0.000 0.500
0.500 0.500 0.000
0.500 0.500 0.500
```

***

Compound: BaBe2Mo
Source: Alexandria via LeMat-Bulk
Functional: PBE
Structure: relaxed

## Properties
The crystal system is monoclinic. As for the energy above the most stable polymorph in this dataset: 0.1189 eV/atom. The density of states at the Fermi level comes out at 1.08 states/eV/atom. For the formation energy, the calculation gives 0.58 eV per atom.

The structure in POSCAR format:
```
BaBe2Mo
1.0
3.570 0.000 0.000
0.000 3.497 0.000
-1.740 0.000 6.308
Ba Be Mo
1 2 1
direct
0.000 0.000 0.000
0.253 0.000 0.488
0.344 0.500 0.673
0.733 0.500 0.447
```

***

Compound: Sm5PaRu6
Source: Alexandria via LeMat-Bulk
Functional: PBE
Structure: relaxed

## Properties
The crystal system is orthorhombic. The density of states at the Fermi level comes out at 0.56 states/eV/atom. For the formation energy, the calculation gives -0.30 eV per atom.

The structure in POSCAR format:
```
Sm5PaRu6
1.0
2.475 -7.275 0.000
2.475 7.275 0.000
0.000 0.000 6.961
Sm Pa Ru
5 1 6
direct
0.000 0.000 0.000
0.330 0.670 0.500
0.333 0.667 0.000
0.667 0.333 0.000
0.670 0.330 0.500
0.000 0.000 0.500
0.153 0.847 0.267
0.153 0.847 0.733
0.500 0.500 0.267
0.500 0.500 0.733
0.847 0.153 0.267
0.847 0.153 0.733
```

***

Compound: Na3Cd4Sn2
Source: Alexandria via LeMat-Bulk
Functional: PBE
Structure: relaxed

## Properties
The crystal system is monoclinic. As for the energy above the most stable polymorph in this dataset: 0.0151 eV/atom. The density of states at the Fermi level comes out at 0.39 states/eV/atom. For the formation energy, the calculation gives -0.13 eV per atom.

The structure in POSCAR format:
```
Na3Cd4Sn2
1.0
7.678 -4.447 0.000
7.678 4.447 0.000
-0.001 0.000 6.729
Na Cd Sn
6 8 4
direct
0.000 0.000 0.250
0.000 0.000 0.750
0.334 0.334 0.250
0.334 0.334 0.750
0.666 0.666 0.250
0.666 0.666 0.750
0.002 0.663 0.999
0.334 0.663 0.000
0.337 0.666 0.500
0.337 0.998 0.501
0.663 0.002 0.499
0.663 0.334 0.500
0.666 0.337 0.000
0.998 0.337 0.001
0.002 0.666 0.499
0.334 0.998 0.001
0.666 0.002 0.999
0.998 0.334 0.501
```

***

How do the records compare in uncorrected energy? In the order shown, they have -0.15319 -0.16099 -0.06843 -0.15648 -0.14867 -0.19739 -0.26374 -0.09324 -0.18681 -0.16432 -0.28265 -0.06853 Ha/atom.